(1)
Below is an optimized crystal structure of Cs2BI6Br, with properties calculated at the PBE-GGA level.

Geometry as extended XYZ:
```
10
Lattice="-4.601 4.601 5.385 4.601 -4.601 5.385 4.601 4.601 -5.385" Properties=species:S:1:pos:R:3 pbc="T T T"
Cs 4.601 0.000 2.692
Cs 0.000 4.601 2.692
B 0.000 0.000 0.000
I 0.000 0.000 2.080
I 2.321 2.321 0.000
I 2.280 -2.280 5.385
I -2.280 2.280 5.385
I 2.280 2.280 5.385
I 0.000 0.000 8.690
Br 0.000 0.000 5.385
```

Formation energy without anion corrections: -0.3572 eV per atom

(2)
Below is an optimized crystal structure of Cu2MoW, with properties calculated at the PBE-GGA level.

Geometry as extended XYZ:
```
8
Lattice="-3.444 3.444 2.537 3.444 -3.444 2.537 3.444 3.444 -2.537" Properties=species:S:1:pos:R:3 pbc="T T T"
Cu 5.166 1.713 -0.634
Cu 1.713 1.722 0.634
Cu -1.722 1.731 1.903
Cu 1.731 1.722 3.171
Mo 3.444 0.000 1.269
Mo 0.000 0.000 2.537
W 0.000 0.000 0.000
W 0.000 3.444 1.269
```

ΔH_f (0 K): 0.849 eV per atom

(3)
Below is an optimized crystal structure of SrUGe2, with properties calculated at the PBE-GGA level.

Geometry as extended XYZ:
```
4
Lattice="2.184 1.261 6.813 -2.184 1.261 6.813 0.000 -2.522 6.813" Properties=species:S:1:pos:R:3 pbc="T T T"
Sr 0.000 0.000 0.000
U 0.000 0.000 10.220
Ge 0.000 0.000 4.707
Ge 0.000 0.000 15.733
```

ΔH_f (0 K): -0.178 eV per atom

(4)
Below is an optimized crystal structure of VRu3C, with properties calculated at the PBE-GGA level.

Geometry as extended XYZ:
```
5
Lattice="4.420 0.000 0.000 0.000 4.420 0.000 0.000 0.000 4.420" Properties=species:S:1:pos:R:3 pbc="T T T"
V 0.000 0.000 0.000
Ru 0.000 0.000 2.210
Ru 0.000 2.210 0.000
Ru 2.210 0.000 0.000
C 2.210 2.210 2.210
```

ΔH_f (0 K): 2.477 eV per atom

(5)
Below is an optimized crystal structure of TcTe2, with properties calculated at the PBE-GGA level.

Geometry as extended XYZ:
```
6
Lattice="1.658 -8.471 0.000 1.658 8.471 0.000 0.000 0.000 4.910" Properties=species:S:1:pos:R:3 pbc="T T T"
Tc 1.658 7.393 3.682
Tc 1.658 -7.393 1.227
Te 1.658 3.309 1.227
Te 1.658 1.157 3.682
Te 1.658 -1.157 1.227
Te 1.658 -3.309 3.682
```

Formation energy without anion corrections: 0.2146 eV per atom

(6)
Below is an optimized crystal structure of LiNi2Pb2, with properties calculated at the PBE-GGA level.

Geometry as extended XYZ:
```
5
Lattice="-2.534 2.534 3.895 2.534 -2.534 3.895 2.534 2.534 -3.895" Properties=species:S:1:pos:R:3 pbc="T T T"
Li 0.000 0.000 0.000
Ni 0.000 0.000 2.739
Ni 0.000 0.000 5.050
Pb 2.534 0.000 1.947
Pb 0.000 2.534 1.947
```

ΔH_f (0 K): 0.147 eV per atom

(7)
Below is an optimized crystal structure of LaPr2Mg, with properties calculated at the PBE-GGA level.

Geometry as extended XYZ:
```
4
Lattice="5.078 0.000 0.000 0.000 5.078 0.000 0.000 0.000 5.127" Properties=species:S:1:pos:R:3 pbc="T T T"
La 0.000 0.000 0.000
Pr 0.000 2.539 2.564
Pr 2.539 0.000 2.564
Mg 2.539 2.539 0.000
```

ΔH_f (0 K): -0.012 eV per atom

(8)
Below is an optimized crystal structure of PuGa4Ni2, with properties calculated at the PBE-GGA level.

Geometry as extended XYZ:
```
28
Lattice="16.763 0.000 0.000 0.000 4.189 0.000 0.000 0.000 6.432" Properties=species:S:1:pos:R:3 pbc="T T T"
Pu 2.294 1.047 0.119
Pu 6.088 3.142 3.334
Pu 10.675 1.047 3.097
Pu 14.470 3.142 6.313
Ga 0.581 3.142 5.328
Ga 1.234 1.047 3.222
Ga 3.105 3.142 2.101
Ga 3.260 3.142 4.690
Ga 5.122 1.047 1.474
Ga 5.276 1.047 5.317
Ga 7.147 3.142 0.006
Ga 7.801 1.047 2.113
Ga 8.962 3.142 4.319
Ga 9.616 1.047 6.426
Ga 11.487 3.142 1.114
Ga 11.642 3.142 4.958
Ga 13.503 1.047 1.742
Ga 13.658 1.047 4.330
Ga 15.529 3.142 3.210
Ga 16.183 1.047 1.103
Ni 0.637 3.142 1.591
Ni 3.659 1.047 3.418
Ni 4.722 3.142 0.202
Ni 7.744 1.047 4.806
Ni 9.019 3.142 1.625
Ni 12.041 1.047 6.230
Ni 13.104 3.142 3.014
Ni 16.126 1.047 4.841
```

ΔH_f (0 K): -0.406 eV per atom

(9)
Below is an optimized crystal structure of LiCe3C, with properties calculated at the PBE-GGA level.

Geometry as extended XYZ:
```
5
Lattice="4.990 0.000 0.000 0.000 4.990 0.000 0.000 0.000 4.990" Properties=species:S:1:pos:R:3 pbc="T T T"
Li 0.000 0.000 0.000
Ce 0.000 2.495 2.495
Ce 2.495 0.000 2.495
Ce 2.495 2.495 0.000
C 2.495 2.495 2.495
```

ΔH_f (0 K): 0.086 eV per atom

(10)
Below is an optimized crystal structure of Rb3Pu3ReS8, with properties calculated at the PBE-GGA level.

Geometry as extended XYZ:
```
15
Lattice="6.906 -3.954 0.000 6.906 3.954 0.000 -4.630 0.000 7.838" Properties=species:S:1:pos:R:3 pbc="T T T"
Rb 0.000 0.000 0.000
Rb 3.453 1.977 0.000
Rb 3.453 -1.977 0.000
Pu 1.138 1.977 3.919
Pu 1.138 -1.977 3.919
Pu 4.591 0.000 3.919
Re -2.315 0.000 3.919
S -0.238 0.000 5.297
S 3.550 2.167 5.307
S 5.633 2.167 2.531
S 2.279 0.000 2.392
S 6.903 0.000 5.446
S 3.550 -2.167 5.307
S 5.633 -2.167 2.531
S 9.421 0.000 2.540
```

Formation energy without anion corrections: -1.2190 eV per atom

(11)
Below is an optimized crystal structure of MgTc2Ag, with properties calculated at the PBE-GGA level.

Geometry as extended XYZ:
```
4
Lattice="1.498 -2.315 0.000 1.498 2.315 0.000 0.000 0.000 9.358" Properties=species:S:1:pos:R:3 pbc="T T T"
Mg 0.000 0.000 0.000
Tc 0.000 0.000 4.437
Tc 1.498 0.000 2.350
Ag 1.498 0.000 6.942
```

ΔH_f (0 K): 0.241 eV per atom

(12)
Below is an optimized crystal structure of BaZrSbTe2, with properties calculated at the PBE-GGA level.

Geometry as extended XYZ:
```
5
Lattice="5.683 0.000 0.000 0.000 5.683 0.000 0.000 0.000 5.629" Properties=species:S:1:pos:R:3 pbc="T T T"
Ba 0.000 0.000 0.000
Zr 2.841 2.841 2.815
Sb 2.841 2.841 0.000
Te 0.000 2.841 2.815
Te 2.841 0.000 2.815
```

Formation energy without anion corrections: -0.8314 eV per atom